# PBE MnVNi2H, optimized geometry
data_MnVNi2H
_chemical_formula_sum 'Mn1 V1 Ni2 H1'
_cell_length_a 3.548
_cell_length_b 3.548
_cell_length_c 3.917
_cell_angle_alpha 90.00
_cell_angle_beta 90.00
_cell_angle_gamma 90.00
_space_group_name_H-M_alt 'P 1'
_space_group_IT_number 1
loop_
_space_group_symop_operation_xyz
'x,y,z'
loop_
_atom_site_label
_atom_site_type_symbol
_atom_site_fract_x
_atom_site_fract_y
_atom_site_fract_z
Ni1 Ni 0.000 0.500 0.000
Ni2 Ni 0.500 0.000 0.000
Mn1 Mn 0.500 0.500 0.500
H1 H 0.000 0.000 0.000
V1 V 0.000 0.000 0.500
# Final energy: -6.77 eV/atom
# Space-group type: P4/mmm (123)
# Total magnetic moment: 1.12 μB per formula unit

***

# PBE Mn2VNiH, optimized geometry
data_Mn2VNiH
_chemical_formula_sum 'Mn2 V1 Ni1 H1'
_cell_length_a 3.910
_cell_length_b 3.910
_cell_length_c 3.352
_cell_angle_alpha 90.00
_cell_angle_beta 90.00
_cell_angle_gamma 90.00
_space_group_name_H-M_alt 'P 1'
_space_group_IT_number 1
loop_
_space_group_symop_operation_xyz
'x,y,z'
loop_
_atom_site_label
_atom_site_type_symbol
_atom_site_fract_x
_atom_site_fract_y
_atom_site_fract_z
Ni1 Ni 0.000 0.000 0.500
Mn1 Mn 0.000 0.500 0.000
Mn2 Mn 0.500 0.000 0.000
H1 H 0.000 0.000 0.000
V1 V 0.500 0.500 0.500
# Polymorph energy (0 for the lowest one): 0.000 eV/atom
# Space-group type: P4/mmm (123)
# Total magnetic moment: 3.86 μB per formula unit

***

# PBE Mn2VNiH, optimized geometry
data_Mn2VNiH
_chemical_formula_sum 'Mn2 V1 Ni1 H1'
_cell_length_a 3.623
_cell_length_b 3.623
_cell_length_c 3.685
_cell_angle_alpha 90.00
_cell_angle_beta 90.00
_cell_angle_gamma 90.00
_space_group_name_H-M_alt 'P 1'
_space_group_IT_number 1
loop_
_space_group_symop_operation_xyz
'x,y,z'
loop_
_atom_site_label
_atom_site_type_symbol
_atom_site_fract_x
_atom_site_fract_y
_atom_site_fract_z
Ni1 Ni 0.500 0.500 0.500
Mn1 Mn 0.000 0.500 0.000
Mn2 Mn 0.500 0.000 0.000
H1 H 0.000 0.000 0.000
V1 V 0.000 0.000 0.500
# Polymorph energy (0 for the lowest one): 0.022 eV/atom
# Space-group type: P4/mmm (123)
# Total magnetic moment: 1.86 μB per formula unit

***

# PBE Mn2VNiH, optimized geometry
data_Mn2VNiH
_chemical_formula_sum 'Mn2 V1 Ni1 H1'
_cell_length_a 4.651
_cell_length_b 2.937
_cell_length_c 4.651
_cell_angle_alpha 90.00
_cell_angle_beta 90.00
_cell_angle_gamma 90.00
_space_group_name_H-M_alt 'P 1'
_space_group_IT_number 1
loop_
_space_group_symop_operation_xyz
'x,y,z'
loop_
_atom_site_label
_atom_site_type_symbol
_atom_site_fract_x
_atom_site_fract_y
_atom_site_fract_z
Ni1 Ni 0.000 0.000 0.000
Mn1 Mn 0.000 0.000 0.500
Mn2 Mn 0.500 0.000 0.000
H1 H 0.000 0.500 0.000
V1 V 0.500 0.500 0.500
# Polymorph energy (0 for the lowest one): 0.706 eV/atom
# Space-group type: P4/mmm (123)
# Total magnetic moment: 4.54 μB per formula unit